# 1
An optimized crystal structure of VMo2H. Source: Alexandria via LeMat-Bulk, functional PBE-GGA.

Structure (POSCAR):
```
VMo2H
1.0
1.939 1.119 5.477
-1.939 1.119 5.477
0.000 -2.239 5.477
V Mo H
1 2 1
direct
0.000 0.000 0.000 V
0.391 0.391 0.391 Mo
0.609 0.609 0.609 Mo
0.500 0.500 0.500 H
```

Total energy (Ry per atom): -0.553
Polymorph energy (0 for the lowest one) (kJ per mole of atoms): 57.87
Space group: R-3m (166)
D(E_F) (states/eV per cell): 3.6

# 2
An optimized crystal structure of LiDyAu2. Source: Alexandria via LeMat-Bulk, functional PBE-GGA.

Structure (POSCAR):
```
LiDyAu2
1.0
3.532 0.000 0.000
0.000 3.532 0.000
0.000 0.000 6.367
Li Dy Au
1 1 2
direct
0.000 0.000 0.000 Li
0.000 0.000 0.500 Dy
0.500 0.500 0.226 Au
0.500 0.500 0.774 Au
```

Total energy (Ry per atom): -0.292
Polymorph energy (0 for the lowest one) (kJ per mole of atoms): 2.22
Energy relative to the elements (meV per atom): -699
Space group: P4/mmm (123)
D(E_F) (states/eV per cell): 1.9

# 3
An optimized crystal structure of Tb2ThInN. Source: Alexandria via LeMat-Bulk, functional PBE-GGA.

Structure (POSCAR):
```
Tb2ThInN
1.0
4.914 0.000 0.000
0.000 4.914 0.000
0.000 0.000 4.901
Tb Th In N
2 1 1 1
direct
0.000 0.500 0.000 Tb
0.500 0.000 0.000 Tb
0.000 0.000 0.500 Th
0.500 0.500 0.500 In
0.000 0.000 0.000 N
```

Total energy (Ry per atom): -0.473
E_form (uncorrected) (eV per atom): -0.889
Space group: P4/mmm (123)
D(E_F) (states/eV per cell): 1.7